(1)
The following is a PBE calculation of a geometry-optimized P2OsRu structure, from the Alexandria database.

```
P2OsRu
1.0
6.132 0.000 0.006
0.000 2.875 0.000
-4.536 0.000 6.652
P Os Ru
4 2 2
Direct
0.198 0.500 0.348
0.667 0.000 0.745
0.667 0.500 0.245
0.198 0.000 0.848
0.814 0.000 0.522
0.814 0.500 0.022
0.285 0.000 0.167
0.285 0.500 0.667
```

- offset from the most stable computed form (meV/atom) = 109
- DOS(E_F) (states/eV/atom) = 0.33
- raw total energy (eV/cell) = -64.5
- formation energy from the elements (eV/atom) = -0.24
- crystal system = monoclinic

***

(2)
The following is a PBE calculation of a geometry-optimized SmGd2Y structure, from the Alexandria database.

```
SmGd2Y
1.0
5.082 0.000 0.000
0.000 5.074 0.000
0.000 0.000 5.074
Gd Y Sm
2 1 1
Direct
0.000 0.500 0.000
0.000 0.000 0.500
0.500 0.000 0.000
0.500 0.500 0.500
```

- offset from the most stable computed form (meV/atom) = 0
- DOS(E_F) (states/eV/atom) = 1.84
- raw total energy (eV/cell) = -39.2
- formation energy from the elements (eV/atom) = 0.02
- crystal system = tetragonal

***

(3)
The following is a PBE calculation of a geometry-optimized Pa2ZnCo6B structure, from the Alexandria database.

```
Pa2ZnCo6B
1.0
5.207 0.000 0.000
2.604 4.510 0.000
2.604 1.503 11.817
Co Pa B Zn
12 4 2 2
Direct
0.109 0.650 0.591
0.204 0.687 0.904
0.313 0.796 0.096
0.796 0.313 0.096
0.650 0.650 0.591
0.350 0.350 0.409
0.204 0.204 0.904
0.796 0.796 0.096
0.891 0.350 0.409
0.687 0.204 0.904
0.650 0.109 0.591
0.350 0.891 0.409
0.118 0.118 0.645
0.882 0.882 0.355
0.288 0.288 0.137
0.712 0.712 0.863
0.000 0.000 0.000
0.500 0.500 0.500
0.420 0.420 0.741
0.580 0.580 0.259
```

- DOS(E_F) (states/eV/atom) = 1.10
- raw total energy (eV/cell) = -144.8
- formation energy from the elements (eV/atom) = -0.28
- crystal system = trigonal

***

Here are the calculated calculated density numbers, same order: 10.0, 7.0, 10.7 (g cm⁻³).